Record 1
Computed, not measured: a relaxed WSN2 crystal at the GGA-PBE level of DFT.

mass density: 5.14 Mg/m³
space-group type: I-42d, No. 122
D(E_F): 0.646 states/eV per atom

Unit cell a=6.0656 b=6.0656 c=6.0642 alpha=59.99 beta=59.99 gamma=90.00
With the nearest neighbours (Å) after each atom.
Sites, in units of the cell vectors:
W  0.7500  0.2500  0.5000  4 N 1.86
S  0.2500  0.7500  0.5000  12 N 3.55-3.56, 4 S 3.71, 4 W 3.71
W  0.0000  0.0000  0.0000  4 N 1.86
N  0.8750  0.1266  0.7500  2 W 1.86
N  0.8734  0.6250  0.2500  2 W 1.86
N  0.3750  0.1234  0.7500  2 W 1.86
N  0.8766  0.1250  0.2500  2 W 1.86
S  0.5000  0.5000  0.0000  12 N 3.55-3.56, 4 S 3.71, 4 W 3.71


Record 2
Computed, not measured: a relaxed WS2N2 crystal at the GGA-PBE level of DFT.

mass density: 5.22 Mg/m³
space-group type: P4/mmm, No. 123
D(E_F): 0.595 states/eV per atom
relative energy among the computed polymorphs: 2.65 eV/f.u.

Unit cell a=4.7552 b=4.7552 c=3.8824 alpha=90.00 beta=90.00 gamma=90.00
With the nearest neighbours (Å) after each atom.
Sites, in units of the cell vectors:
N  0.0000  0.0000  0.5000  2 W 1.94
S  0.0000  0.5000  0.0000  2 W 2.38
N  0.5000  0.5000  0.5000  8 S 3.07, 4 N 3.36
S  0.5000  0.0000  0.0000  2 W 2.38
W  0.0000  0.0000  0.0000  2 N 1.94


| no. | raw formation energy (eV/atom) |
| --- | --- |
| 1 | 0.485 |
| 2 | 1.236 |